Version w
## NdSm4N4 (PBE)

Data for a relaxed structure of NdSm4N4.

Summary:
Total magnetic moment ... 0.0000 μB per atom
DOS at the Fermi energy ... 0.353 states/eV/atom
Crystal system ... tetragonal

The structure in CIF format:
```
data_NdSm4N4
_cell_length_a 8.1068
_cell_length_b 8.1068
_cell_length_c 5.0794
_cell_angle_alpha 90.00
_cell_angle_beta 90.00
_cell_angle_gamma 90.00
_space_group_name_H-M_alt 'I 4/m'
_space_group_IT_number 87
_space_group_name_Hall '-I 4'
loop_
_atom_site_label
_atom_site_type_symbol
_atom_site_fract_x
_atom_site_fract_y
_atom_site_fract_z
Nd1 Nd 0.0000 0.0000 0.0000
Sm1 Sm 0.1100 0.6856 0.5000
N1 N 0.0978 0.6994 0.0000
```

***

Version x
## NdSm4N4 (PBE)

Data for a relaxed structure of NdSm4N4.

Summary:
Total magnetic moment ... 0.2616 μB per atom
DOS at the Fermi energy ... 0.522 states/eV/atom
Crystal system ... tetragonal

The structure in CIF format:
```
data_NdSm4N4
_cell_length_a 5.9139
_cell_length_b 5.9139
_cell_length_c 11.0160
_cell_angle_alpha 90.00
_cell_angle_beta 90.00
_cell_angle_gamma 90.00
_space_group_name_H-M_alt 'I -4 2 m'
_space_group_IT_number 121
_space_group_name_Hall 'I -4 2'
loop_
_atom_site_label
_atom_site_type_symbol
_atom_site_fract_x
_atom_site_fract_y
_atom_site_fract_z
Nd1 Nd 0.0000 0.0000 0.0000
Sm1 Sm 0.0000 0.0000 0.2873
Sm2 Sm 0.0000 0.5000 0.0000
N1 N 0.2429 0.2429 0.1183
```

***

Most stable structure, least stable structure: version w, version x.

***

Version w
## Nd4SmN4 (PBE)

Data for a relaxed structure of Nd4SmN4.

Summary:
Total magnetic moment ... 0.0586 μB per atom
DOS at the Fermi energy ... 0.395 states/eV/atom
Crystal system ... monoclinic

The structure in CIF format:
```
data_Nd4SmN4
_cell_length_a 12.1578
_cell_length_b 3.6379
_cell_length_c 9.0416
_cell_angle_alpha 90.00
_cell_angle_beta 120.17
_cell_angle_gamma 90.00
_space_group_name_H-M_alt 'C 1 2/m 1'
_space_group_IT_number 12
_space_group_name_Hall '-C 2y'
loop_
_atom_site_label
_atom_site_type_symbol
_atom_site_fract_x
_atom_site_fract_y
_atom_site_fract_z
Nd1 Nd 0.1065 0.0000 0.3838
Nd2 Nd 0.2050 0.5000 0.8123
Sm1 Sm 0.0000 0.5000 0.0000
N1 N 0.1025 0.0000 0.9059
N2 N 0.1966 0.5000 0.3025
```

***

Version x
## Nd4SmN4 (PBE)

Data for a relaxed structure of Nd4SmN4.

Summary:
Total magnetic moment ... 0.2664 μB per atom
DOS at the Fermi energy ... 0.534 states/eV/atom
Crystal system ... tetragonal

The structure in CIF format:
```
data_Nd4SmN4
_cell_length_a 5.9698
_cell_length_b 5.9698
_cell_length_c 11.0935
_cell_angle_alpha 90.00
_cell_angle_beta 90.00
_cell_angle_gamma 90.00
_space_group_name_H-M_alt 'I -4 2 m'
_space_group_IT_number 121
_space_group_name_Hall 'I -4 2'
loop_
_atom_site_label
_atom_site_type_symbol
_atom_site_fract_x
_atom_site_fract_y
_atom_site_fract_z
Nd1 Nd 0.0000 0.0000 0.2129
Nd2 Nd 0.0000 0.5000 0.0000
Sm1 Sm 0.0000 0.0000 0.5000
N1 N 0.2348 0.2348 0.6191
```

***

Most stable structure, least stable structure: version w, version x.

***

Version w
## NdSnN (PBE)

Data for a relaxed structure of NdSnN.

Summary:
Total magnetic moment ... 0.0841 μB per atom
DOS at the Fermi energy ... 0.772 states/eV/atom
Crystal system ... tetragonal

The structure in CIF format:
```
data_NdSnN
_cell_length_a 4.2318
_cell_length_b 4.2318
_cell_length_c 8.3158
_cell_angle_alpha 90.00
_cell_angle_beta 90.00
_cell_angle_gamma 90.00
_space_group_name_H-M_alt 'P 4/n m m'
_space_group_IT_number 129
loop_
_space_group_symop_operation_xyz
'x,y,z'
'-x,-y,-z'
'-y+1/2,x,z'
'y+1/2,-x,-z'
'-x+1/2,-y+1/2,z'
'x+1/2,y+1/2,-z'
'y,-x+1/2,z'
'-y,x+1/2,-z'
'x+1/2,-y,-z'
'-x+1/2,y,z'
'-y,-x,-z'
'y,x,z'
'-x,y+1/2,-z'
'x,-y+1/2,z'
'y+1/2,x+1/2,-z'
'-y+1/2,-x+1/2,z'
loop_
_atom_site_label
_atom_site_type_symbol
_atom_site_fract_x
_atom_site_fract_y
_atom_site_fract_z
Nd1 Nd 0.2500 0.2500 0.1226
Sn1 Sn 0.2500 0.2500 0.5606
N1 N 0.2500 0.7500 0.0000
```

***

Version x
## NdSnN (PBE)

Data for a relaxed structure of NdSnN.

Summary:
Total magnetic moment ... 0.0000 μB per atom
DOS at the Fermi energy ... 0.291 states/eV/atom
Crystal system ... monoclinic

The structure in CIF format:
```
data_NdSnN
_cell_length_a 5.1491
_cell_length_b 5.1507
_cell_length_c 9.6704
_cell_angle_alpha 90.00
_cell_angle_beta 90.16
_cell_angle_gamma 90.00
_space_group_name_H-M_alt 'C 1 2/m 1'
_space_group_IT_number 12
_space_group_name_Hall '-C 2y'
loop_
_atom_site_label
_atom_site_type_symbol
_atom_site_fract_x
_atom_site_fract_y
_atom_site_fract_z
Nd1 Nd 0.2492 0.0000 0.3701
Sn1 Sn 0.2482 0.5000 0.1373
N1 N 0.2493 0.5000 0.3809
```

***

Most stable structure, least stable structure: version x, version w.